1.
# Tl2CrAs

A relaxed Tl2CrAs crystal (PBE, the Alexandria database).

Formation enthalpy at 0 K, meV per atom: 422
Energy relative to the lowest polymorph listed for this composition, meV/atom: 303

Cell and atoms, written as CIF:
```
data_Tl2CrAs
_chemical_formula_sum 'Tl2 Cr1 As1'
_symmetry_space_group_name_H-M 'P 4/m m m'
_symmetry_Int_Tables_number 123
_symmetry_space_group_name_Hall '-P 4 2'
_cell_length_a 4.337
_cell_length_b 4.337
_cell_length_c 5.107
_cell_angle_alpha 90.00
_cell_angle_beta 90.00
_cell_angle_gamma 90.00
loop_
_atom_site_label
_atom_site_type_symbol
_atom_site_fract_x
_atom_site_fract_y
_atom_site_fract_z
_atom_site_occupancy
Tl1 Tl 0.000 0.500 0.000 1
Cr1 Cr 0.000 0.000 0.500 1
As1 As 0.500 0.500 0.500 1
```

2.
# BaHo3Cu

A relaxed BaHo3Cu crystal (PBE, the Alexandria database).

Formation enthalpy at 0 K, meV per atom: 105

Cell and atoms, written as CIF:
```
data_BaHo3Cu
_chemical_formula_sum 'Ba1 Ho3 Cu1'
_symmetry_space_group_name_H-M 'P m -3 m'
_symmetry_Int_Tables_number 221
_symmetry_space_group_name_Hall '-P 4 2 3'
_cell_length_a 5.515
_cell_length_b 5.515
_cell_length_c 5.515
_cell_angle_alpha 90.00
_cell_angle_beta 90.00
_cell_angle_gamma 90.00
loop_
_atom_site_label
_atom_site_type_symbol
_atom_site_fract_x
_atom_site_fract_y
_atom_site_fract_z
_atom_site_occupancy
Ba1 Ba 0.000 0.000 0.000 1
Ho1 Ho 0.000 0.500 0.500 1
Cu1 Cu 0.500 0.500 0.500 1
```

3.
# CuAs2F2

A relaxed CuAs2F2 crystal (PBE, the Alexandria database).

Raw formation energy, meV per atom: -895
Energy relative to the lowest polymorph listed for this composition, meV/atom: 0

Cell and atoms, written as CIF:
```
data_CuAs2F2
_chemical_formula_sum 'Cu2 As4 F4'
_symmetry_space_group_name_H-M 'P 4/m b m'
_symmetry_Int_Tables_number 127
_symmetry_space_group_name_Hall '-P 4 2ab'
_cell_length_a 6.292
_cell_length_b 6.292
_cell_length_c 4.189
_cell_angle_alpha 90.00
_cell_angle_beta 90.00
_cell_angle_gamma 90.00
loop_
_atom_site_label
_atom_site_type_symbol
_atom_site_fract_x
_atom_site_fract_y
_atom_site_fract_z
_atom_site_occupancy
Cu1 Cu 0.000 0.000 0.000 1
As1 As 0.145 0.355 0.000 1
F1 F 0.155 0.345 0.500 1
```